# BaCaP4O12

A relaxed BaCaP4O12 crystal (PBEsol, Alexandria via LeMat-Bulk).

abc: 7.2587 9.2674 15.2500
angles: 90.00 90.93 90.00
Positions (direct):
O1 0.2149 0.3139 0.4126
O2 0.2851 0.8139 0.0874
O3 0.6498 0.3448 0.0377
Ca1 0.0024 0.2651 0.6557
O4 0.4234 0.9985 0.1924
O5 0.5837 0.5093 0.6554
O6 0.7125 0.4026 0.4132
Ba1 0.4854 0.1098 0.6323
P1 0.1334 0.0193 0.8267
O7 0.0865 0.8164 0.5889
O8 0.4249 0.8497 0.5634
O9 0.2680 0.2941 0.2478
O10 0.9249 0.6503 0.0634
O11 0.2320 0.7941 0.2522
Ba2 0.5146 0.8902 0.3677
P2 0.6273 0.3400 0.9394
P3 0.2363 0.3976 0.3217
O12 0.7320 0.7059 0.7522
O13 0.5766 0.0015 0.8076
O14 0.9234 0.5015 0.6924
O15 0.1699 0.1069 0.7462
O16 0.9163 0.0093 0.8446
O17 0.2125 0.0974 0.9132
O18 0.9135 0.1836 0.4111
O19 0.7299 0.7756 0.9465
O20 0.7851 0.6861 0.5874
O21 0.7875 0.9026 0.0868
P4 0.7637 0.6024 0.6783
Ca2 0.5024 0.2349 0.1557
Ba3 0.9854 0.3902 0.1323
O22 0.6966 0.4613 0.8854
O23 0.6699 0.3931 0.2462
Ca3 0.9976 0.7349 0.3443
O24 0.7701 0.2756 0.5535
O25 0.0837 0.9907 0.1554
Ba4 0.0146 0.6098 0.8677
O26 0.7990 0.1331 0.1681
O27 0.2299 0.7244 0.4465
O28 0.2701 0.2244 0.0535
O29 0.2010 0.8669 0.8319
P5 0.1273 0.1600 0.4394
P6 0.3666 0.5193 0.6733
O30 0.4135 0.3164 0.9111
P7 0.7651 0.7469 0.0422
O31 0.5751 0.1503 0.4366
O32 0.7010 0.6331 0.3319
O33 0.0766 0.4985 0.3076
O34 0.3034 0.5387 0.1146
O35 0.0751 0.3497 0.9366
O36 0.1498 0.1552 0.5377
P8 0.7349 0.2469 0.4578
O37 0.7149 0.1861 0.9126
P9 0.2349 0.2531 0.9578
O38 0.8502 0.8448 0.4623
O39 0.2875 0.5974 0.5868
Ca4 0.4976 0.7651 0.8443
O40 0.7680 0.2059 0.7478
P10 0.3727 0.6600 0.0606
P11 0.7363 0.1024 0.8217
P12 0.6334 0.4807 0.3267
O41 0.8034 0.9613 0.6146
O42 0.3301 0.6069 0.7538
O43 0.2990 0.3669 0.6681
P13 0.2651 0.7531 0.5422
O44 0.8301 0.8931 0.2538
O45 0.1966 0.0387 0.3854
O46 0.5865 0.6836 0.0889
P14 0.8666 0.9807 0.1733
O47 0.3502 0.6552 0.9623
O48 0.4163 0.4907 0.3446
P15 0.8727 0.8400 0.5606
P16 0.2637 0.8976 0.1783

The value obtained for the uncorrected formation energy is -2.545 eV per atom. The calculation puts the volume at 14.25 Å³ per atom.